(1)
Density functional theory data (PBE-GGA) for a relaxed In2SnRhPb crystal.

The density of states at the Fermi level is 0.5451 states/eV/atom. The uncorrected energy comes out at -4.14 eV/atom. For the formation energy, the calculation gives -0.033 eV/atom.

The space group is P4/mmm (No. 123) and the conventional cell measures 5.1796, 5.1796 and 5.1298 Å, with angles of 90.00, 90.00 and 90.00 degrees. The distinct sites, in fractional coordinates, are In at (0.0000, 0.5000, 0.0000), Sn at (0.0000, 0.0000, 0.5000), Rh at (0.0000, 0.0000, 0.0000) and Pb at (0.5000, 0.5000, 0.5000).



(2)
Density functional theory data (PBE-GGA) for a relaxed Tb7Y4Tm crystal.

The density of states at the Fermi level is 1.6563 states/eV/atom. The uncorrected energy comes out at -4.94 eV/atom. For the formation energy, the calculation gives 0.284 eV/atom.

The space group is C2/m (No. 12) and the conventional cell measures 11.9849, 5.9105 and 12.6302 Å, with angles of 90.00, 117.71 and 90.00 degrees. The distinct sites, in fractional coordinates, are Tb at (0.0000, 0.0000, 0.0000), Tb at (0.1328, 0.5000, 0.5012), Tb at (0.2131, 0.0000, 0.9242), Tb at (0.2480, 0.0000, 0.6839), Y at (0.0604, 0.0000, 0.3220), Y at (0.1368, 0.5000, 0.7762) and Tm at (0.0000, 0.5000, 0.0000).



(3)
Density functional theory data (PBE-GGA) for a relaxed V2InMo crystal.

The density of states at the Fermi level is 0.9477 states/eV/atom. The uncorrected energy comes out at -7.69 eV/atom. For the formation energy, the calculation gives 0.261 eV/atom.

The space group is R-3m (No. 166, hexagonal axes) and the conventional cell measures 3.0149, 3.0149 and 25.4541 Å, with angles of 90.00, 90.00 and 120.00 degrees. The distinct sites, in fractional coordinates, are V at (0.0000, 0.0000, 0.2401), In at (0.0000, 0.0000, 0.0000) and Mo at (0.0000, 0.0000, 0.5000).



(4)
Density functional theory data (PBE-GGA) for a relaxed Sc12Co6Au crystal.

The density of states at the Fermi level is 0.9655 states/eV/atom. The uncorrected energy comes out at -6.74 eV/atom. For the formation energy, the calculation gives -0.323 eV/atom.

The space group is Im-3 (No. 204) and the conventional cell measures 8.9230, 8.9230 and 8.9230 Å, with angles of 90.00, 90.00 and 90.00 degrees. The distinct sites, in fractional coordinates, are Sc at (0.0000, 0.1962, 0.2941), Co at (0.0000, 0.3792, 0.5000) and Au at (0.0000, 0.0000, 0.0000).



(5)
Density functional theory data (PBE-GGA) for a relaxed MnCdMo2 crystal.

The density of states at the Fermi level is 0.7845 states/eV/atom. The uncorrected energy comes out at -7.57 eV/atom. For the formation energy, the calculation gives 0.363 eV/atom.

The space group is P2/m (No. 10) and the conventional cell measures 2.7042, 4.3389 and 5.5254 Å, with angles of 90.00, 100.41 and 90.00 degrees. The distinct sites, in fractional coordinates, are Mn at (0.0000, 0.0000, 0.0000), Cd at (0.0000, 0.0000, 0.5000) and Mo at (0.4613, 0.5000, 0.2217).



(6)
Density functional theory data (PBE-GGA) for a relaxed Ni2Bi4Rh crystal.

The density of states at the Fermi level is 0.7098 states/eV/atom. The uncorrected energy comes out at -4.87 eV/atom. The value obtained for the energy relative to the lowest polymorph listed for this composition is 123.9 meV per atom. For the formation energy, the calculation gives 0.048 eV/atom.

The space group is C2/m (No. 12) and the conventional cell measures 12.5933, 8.1744 and 8.7865 Å, with angles of 90.00, 134.09 and 90.00 degrees. The distinct sites, in fractional coordinates, are Ni at (0.0000, 0.0000, 0.0000), Ni at (0.0000, 0.0000, 0.5000), Ni at (0.2500, 0.2500, 0.0000), Bi at (0.0403, 0.2183, 0.2904), Bi at (0.2131, 0.5000, 0.1567), Bi at (0.2127, 0.5000, 0.7691) and Rh at (0.2237, 0.5000, 0.4737).



(7)
Density functional theory data (PBE-GGA) for a relaxed Pm4Sb2Rh crystal.

The density of states at the Fermi level is 1.0003 states/eV/atom. The uncorrected energy comes out at -5.61 eV/atom. The calculation puts the formation energy (no corrections) at -448.5 kJ/mol of formula units. The value obtained for the energy relative to the lowest polymorph listed for this composition is 50.9 meV per atom.

The space group is I4/mmm (No. 139) and the conventional cell measures 5.2015, 5.2015 and 16.6946 Å, with angles of 90.00, 90.00 and 90.00 degrees. The distinct sites, in fractional coordinates, are Pm at (0.0000, 0.0000, 0.1755), Pm at (0.0000, 0.5000, 0.0000), Sb at (0.0000, 0.0000, 0.3640) and Rh at (0.0000, 0.0000, 0.0000).



(8)
Density functional theory data (PBE-GGA) for a relaxed LiThCdPb crystal.

The density of states at the Fermi level is 0.9289 states/eV/atom. The uncorrected energy comes out at -3.63 eV/atom. For the formation energy, the calculation gives -0.144 eV/atom.

The space group is F-43m (No. 216) and the conventional cell measures 7.4970, 7.4970 and 7.4970 Å, with angles of 90.00, 90.00 and 90.00 degrees. The distinct sites, in fractional coordinates, are Li at (0.0000, 0.0000, 0.0000), Th at (0.0000, 0.0000, 0.5000), Cd at (0.2500, 0.2500, 0.7500) and Pb at (0.2500, 0.2500, 0.2500).